The following is a DFT calculation (SCAN) of a PBEsol-optimized structure of TiGa2Pb2.

Cell lengths 4.224, 4.224, 7.451 Å; angles 106.47, 106.47, 90.00 degrees
Site moments in Bohr magnetons follow the coordinates.
Fractional positions:
Pb1 0.750 0.250 0.500  -0.01
Pb2 0.250 0.750 0.500  -0.01
Ti1 0.000 0.000 0.000  1.45
Ga1 0.413 0.413 0.827  -0.02
Ga2 0.587 0.587 0.173  -0.02

Values from the calculation:
- symmetry = I4/mmm, No. 139
- raw total energy (eV/atom) = -39.598
- density of states at the Fermi level (states/eV/f.u.) = 3.0



The following is a DFT calculation (SCAN) of a PBEsol-optimized structure of Tl2Ga2Pb.

Cell lengths 4.436, 7.514, 7.514 Å; angles 90.00, 90.00, 90.00 degrees
Fractional positions:
Ga1 0.000 0.378 0.878
Ga2 0.000 0.122 0.378
Ga3 0.000 0.622 0.122
Ga4 0.000 0.878 0.622
Pb1 0.000 0.000 0.000
Pb2 0.000 0.500 0.500
Tl1 0.500 0.178 0.678
Tl2 0.500 0.322 0.178
Tl3 0.500 0.822 0.322
Tl4 0.500 0.678 0.822

Values from the calculation:
- symmetry = P4/mbm, No. 127
- raw total energy (eV/atom) = -50.530
- polymorph energy (0 for the lowest one) (eV/atom) = 0.000
- density of states at the Fermi level (states/eV/f.u.) = 2.3



The following is a DFT calculation (SCAN) of a PBEsol-optimized structure of TlGa2Pb.

Cell lengths 5.142, 5.142, 5.142 Å; angles 60.00, 60.00, 60.00 degrees
Fractional positions:
Pb1 0.500 0.500 0.500
Ga1 0.250 0.250 0.250
Ga2 0.750 0.750 0.750
Tl1 0.000 0.000 0.000

Values from the calculation:
- symmetry = Fm-3m, No. 225
- raw total energy (eV/atom) = -45.033
- density of states at the Fermi level (states/eV/f.u.) = 1.6



Question: Among the records above, which one has the highest raw total energy?
Answer: TiGa2Pb2



Question: Look up the raw total energy of the third one.
Answer: -45.033 eV/atom



Copy entry 1 word for word.
The following is a DFT calculation (SCAN) of a PBEsol-optimized structure of TiGa2Pb2.

Cell lengths 4.224, 4.224, 7.451 Å; angles 106.47, 106.47, 90.00 degrees
Site moments in Bohr magnetons follow the coordinates.
Fractional positions:
Pb1 0.750 0.250 0.500  -0.01
Pb2 0.250 0.750 0.500  -0.01
Ti1 0.000 0.000 0.000  1.45
Ga1 0.413 0.413 0.827  -0.02
Ga2 0.587 0.587 0.173  -0.02

Values from the calculation:
- symmetry = I4/mmm, No. 139
- raw total energy (eV/atom) = -39.598
- density of states at the Fermi level (states/eV/f.u.) = 3.0